Here is a PBEsol-optimized structure of ZrAsRu2 from the Alexandria database. Energies are from meta-GGA SCAN.

Summary:
- SG = Pmm2 (25)
- ΔH_f (0 K) (meV per atom) = -330
- DOS(E_F) (states/eV/cell) = 2.75

abc: 3.0906 3.8617 5.2344
angles: 90.00 90.00 90.00
Fractional positions:
Ru: 0.0000 0.0000 0.9619
Ru: 0.5000 0.5000 0.2690
As: 0.5000 0.5000 0.7912
Zr: 0.0000 0.0000 0.4779

=====

Here is a PBEsol-optimized structure of SiNiTeOs2 from the Alexandria database. Energies are from meta-GGA SCAN.

Summary:
- SG = P4/mmm (123)
- DOS(E_F) (states/eV/cell) = 3.69
- formation energy (no corrections) (eV per atom) = 0.98

abc: 4.1697 4.4751 4.4751
angles: 90.00 90.00 90.00
Each line ends with the local moment (μB).
Fractional positions:
Ni: 0.5000 0.0000 0.0000  0.54
Si: 0.0000 0.0000 0.0000  -0.01
Te: 0.5000 0.5000 0.5000  0.02
Os: 0.0000 0.0000 0.5000  0.25
Os: 0.0000 0.5000 0.0000  0.25

=====

Here is a PBEsol-optimized structure of MgZrP2H8O12 from the Alexandria database. Energies are from meta-GGA SCAN.

Summary:
- SG = P-1 (2)
- DOS(E_F) (states/eV/cell) = 0.00
- energy (eV per atom) = -8.671

abc: 5.2646 9.3641 9.6283
angles: 95.99 92.12 90.89
Fractional positions:
H: 0.4571 0.9077 0.8747
H: 0.5429 0.0923 0.1253
H: 0.1976 0.8449 0.7995
H: 0.8024 0.1551 0.2005
H: 0.1350 0.2622 0.9470
H: 0.8650 0.7378 0.0530
H: 0.0343 0.1726 0.8036
H: 0.9657 0.8274 0.1964
H: 0.0430 0.4363 0.1270
H: 0.9570 0.5637 0.8730
H: 0.2402 0.3135 0.1620
H: 0.7598 0.6865 0.8380
H: 0.3231 0.7610 0.0106
H: 0.6769 0.2390 0.9894
H: 0.4112 0.7219 0.1678
H: 0.5888 0.2781 0.8322
Mg: 0.0000 0.0000 0.0000
Mg: 0.5000 0.5000 0.0000
O: 0.3303 0.5843 0.6071
O: 0.6697 0.4157 0.3929
O: 0.2345 0.4922 0.8355
O: 0.7655 0.5078 0.1645
O: 0.4937 0.3426 0.6608
O: 0.5063 0.6574 0.3392
O: 0.0305 0.3724 0.6119
O: 0.9695 0.6276 0.3881
O: 0.9760 0.1550 0.3597
O: 0.0240 0.8450 0.6403
O: 0.2550 0.0699 0.1660
O: 0.7450 0.9301 0.8340
O: 0.4474 0.1326 0.4096
O: 0.5526 0.8674 0.5904
O: 0.1733 0.9088 0.3559
O: 0.8267 0.0912 0.6441
O: 0.2779 0.8741 0.8943
O: 0.7221 0.1259 0.1057
O: 0.1279 0.1651 0.8932
O: 0.8721 0.8349 0.1068
O: 0.2059 0.3864 0.0979
O: 0.7941 0.6136 0.9021
O: 0.3421 0.6838 0.0746
O: 0.6579 0.3162 0.9254
P: 0.2718 0.4492 0.6803
P: 0.7282 0.5508 0.3197
P: 0.2160 0.0661 0.3237
P: 0.7840 0.9339 0.6763
Zr: 0.2606 0.7468 0.4862
Zr: 0.7394 0.2532 0.5138

=====

Here is a PBEsol-optimized structure of BeRuW2 from the Alexandria database. Energies are from meta-GGA SCAN.

Summary:
- SG = Pmmm (47)
- ΔH_f (0 K) (meV per atom) = 114
- DOS(E_F) (states/eV/cell) = 3.25
- relative energy among the computed polymorphs (meV/atom) = 0

abc: 3.1253 4.1601 4.1923
angles: 90.00 90.00 90.00
Fractional positions:
Ru: 0.0000 0.5000 0.5000
W: 0.0000 0.0000 0.0000
W: 0.5000 0.5000 0.0000
Be: 0.5000 0.0000 0.5000

=====

Here is a PBEsol-optimized structure of Fe2AsP from the Alexandria database. Energies are from meta-GGA SCAN.

Summary:
- SG = Pmc2_1 (26)
- ΔH_f (0 K) (meV per atom) = -307
- DOS(E_F) (states/eV/cell) = 2.64

abc: 3.1147 5.2207 5.8415
angles: 90.00 90.00 90.00
Each line ends with the local moment (μB).
Fractional positions:
Fe: 0.5000 0.5014 0.0429  0.59
Fe: 0.5000 0.0014 0.9571  0.59
Fe: 0.0000 0.5062 0.4406  0.58
Fe: 0.0000 0.0062 0.5594  0.58
As: 0.5000 0.6924 0.6792  -0.04
As: 0.5000 0.1924 0.3208  -0.04
P: 0.0000 0.3000 0.8249  -0.03
P: 0.0000 0.8000 0.1751  -0.03

=====

Here is a PBEsol-optimized structure of ReIr2Os from the Alexandria database. Energies are from meta-GGA SCAN.

Summary:
- SG = Pmm2 (25)
- ΔH_f (0 K) (meV per atom) = -176
- DOS(E_F) (states/eV/cell) = 2.40

abc: 2.7194 4.3436 4.7643
angles: 90.00 90.00 90.00
Fractional positions:
Re: 0.5000 0.5000 0.2126
Ir: 0.0000 0.0000 0.0398
Ir: 0.0000 0.5000 0.7077
Os: 0.5000 0.0000 0.5399

=====

Here is a PBEsol-optimized structure of Mn2C from the Alexandria database. Energies are from meta-GGA SCAN.

Summary:
- SG = P-6m2 (187)
- ΔH_f (0 K) (meV per atom) = 274
- DOS(E_F) (states/eV/cell) = 1.84

abc: 2.6129 2.6129 4.9524
angles: 90.00 90.00 120.00
Each line ends with the local moment (μB).
Fractional positions:
C: 0.0000 0.0000 0.5000  -0.23
Mn: 0.3333 0.6667 0.7537  2.31
Mn: 0.3333 0.6667 0.2463  2.31

=====

Here is a PBEsol-optimized structure of LiSb2Pt from the Alexandria database. Energies are from meta-GGA SCAN.

Summary:
- SG = R-3m (166)
- DOS(E_F) (states/eV/cell) = 1.46
- formation energy (no corrections) (eV per atom) = -0.49

abc: 4.0021 4.0021 6.9467
angles: 73.26 73.26 60.00
Fractional positions:
Sb: 0.2651 0.2651 0.2048
Sb: 0.7349 0.7349 0.7952
Pt: 0.0000 0.0000 0.0000
Li: 0.5000 0.5000 0.5000

=====

Here is a PBEsol-optimized structure of BaV2P4O14 from the Alexandria database. Energies are from meta-GGA SCAN.

Summary:
- SG = P-1 (2)
- formation energy (no corrections) (eV per atom) = -2.71
- relative energy among the computed polymorphs (meV/atom) = 0

abc: 6.1836 6.2555 7.8868
angles: 95.84 101.93 105.60
Each line ends with the local moment (μB).
Fractional positions:
Ba: 0.0000 0.0000 0.0000  0.00
V: 0.3773 0.6932 0.2268  1.86
V: 0.6227 0.3068 0.7732  1.86
P: 0.1833 0.4663 0.8085  0.01
P: 0.8167 0.5337 0.1915  0.01
P: 0.4819 0.2479 0.3354  0.01
P: 0.5181 0.7521 0.6646  0.01
O: 0.7817 0.3557 0.0316  -0.01
O: 0.2183 0.6443 0.9684  -0.01
O: 0.4296 0.0203 0.2197  0.01
O: 0.5704 0.9797 0.7803  0.01
O: 0.9333 0.3221 0.7366  -0.01
O: 0.0667 0.6779 0.2634  -0.01
O: 0.7427 0.3969 0.3426  0.00
O: 0.2573 0.6031 0.6574  0.00
O: 0.4730 0.2357 0.5238  0.00
O: 0.5270 0.7643 0.4762  0.00
O: 0.6858 0.6353 0.7610  0.01
O: 0.3142 0.3647 0.2390  0.01
O: 0.6685 0.6937 0.1566  -0.01
O: 0.3315 0.3063 0.8434  -0.01

=====

Here is a PBEsol-optimized structure of ZrCd2Co from the Alexandria database. Energies are from meta-GGA SCAN.

Summary:
- SG = Cmmm (65)
- ΔH_f (0 K) (meV per atom) = 226
- DOS(E_F) (states/eV/cell) = 3.17
- relative energy among the computed polymorphs (meV/atom) = 287

abc: 2.7896 5.3928 5.3928
angles: 117.80 90.00 90.00
Each line ends with the local moment (μB).
Fractional positions:
Cd: 0.0000 0.5000 0.0000  0.00
Cd: 0.0000 0.0000 0.5000  0.00
Co: 0.5000 0.0000 0.0000  1.97
Zr: 0.5000 0.5000 0.5000  -0.01

=====

Here is a PBEsol-optimized structure of Sr2HoSbO6 from the Alexandria database. Energies are from meta-GGA SCAN.

Summary:
- SG = P2_1/c (14)
- DOS(E_F) (states/eV/cell) = 0.00
- formation energy (no corrections) (eV per atom) = -2.98

abc: 5.7841 5.8430 8.2073
angles: 90.00 89.76 90.00
Fractional positions:
Sr: 0.4914 0.4655 0.7496
Sr: 0.0086 0.9655 0.7504
Sr: 0.5086 0.5345 0.2504
Sr: 0.9914 0.0345 0.2496
Ho: 0.0000 0.5000 0.5000
Ho: 0.5000 0.0000 0.0000
Sb: 0.5000 0.0000 0.5000
Sb: 0.0000 0.5000 0.0000
O: 0.5771 0.0208 0.7369
O: 0.4229 0.9792 0.2631
O: 0.1994 0.2259 0.9579
O: 0.2270 0.2024 0.5399
O: 0.3006 0.7259 0.5421
O: 0.0771 0.4792 0.2369
O: 0.8006 0.7741 0.0421
O: 0.7270 0.2976 0.0399
O: 0.2730 0.7024 0.9601
O: 0.9229 0.5208 0.7631
O: 0.6994 0.2741 0.4579
O: 0.7730 0.7976 0.4601

=====

Here is a PBEsol-optimized structure of SrTeW from the Alexandria database. Energies are from meta-GGA SCAN.

Summary:
- SG = I4mm (107)
- DOS(E_F) (states/eV/cell) = 1.75
- formation energy (no corrections) (eV per atom) = 0.35

abc: 3.4958 3.4958 6.4634
angles: 105.69 105.69 90.00
Fractional positions:
Sr: 0.9950 0.9950 0.9901
Te: 0.7034 0.7034 0.4068
W: 0.3015 0.3015 0.6031

=====

Here is a PBEsol-optimized structure of Mn2AlRe from the Alexandria database. Energies are from meta-GGA SCAN.

Summary:
- SG = Imm2 (44)
- ΔH_f (0 K) (meV per atom) = -171
- DOS(E_F) (states/eV/cell) = 2.98

abc: 2.9232 4.0467 4.7941
angles: 114.96 107.75 90.00
Fractional positions:
Re: 0.4927 0.4927 0.9854
Mn: 0.0041 0.0041 0.0083
Mn: 0.7477 0.2477 0.4954
Al: 0.2555 0.7555 0.5110

=====

Here is a PBEsol-optimized structure of Na4TaAl3P6O24 from the Alexandria database. Energies are from meta-GGA SCAN.

Summary:
- SG = P1 (1)
- DOS(E_F) (states/eV/cell) = 0.00
- formation energy (no corrections) (eV per atom) = -2.77

abc: 8.5121 8.5102 8.7054
angles: 60.52 60.64 60.04
Fractional positions:
Na: 0.3869 0.7468 0.7516
Na: 0.7502 0.1068 0.7634
Na: 0.4857 0.4984 0.4935
Na: 0.0170 0.0293 0.9892
Ta: 0.8622 0.8580 0.4237
Al: 0.6429 0.6405 0.0687
Al: 0.1463 0.1507 0.5548
Al: 0.3496 0.3533 0.9421
P: 0.0406 0.7435 0.7571
P: 0.7547 0.4498 0.7618
P: 0.4543 0.0392 0.7565
P: 0.2633 0.5306 0.2381
P: 0.5255 0.9627 0.2471
P: 0.9581 0.2642 0.2550
O: 0.7203 0.4816 0.9336
O: 0.4857 0.8545 0.9208
O: 0.8554 0.7268 0.9157
O: 0.9764 0.2077 0.4437
O: 0.2127 0.3648 0.4078
O: 0.3603 0.9883 0.4268
O: 0.2949 0.5211 0.0539
O: 0.5097 0.1383 0.0718
O: 0.1361 0.2875 0.0898
O: 0.0159 0.7859 0.5722
O: 0.7837 0.6320 0.5881
O: 0.6376 0.0103 0.5818
O: 0.7754 0.4354 0.2372
O: 0.4303 0.5557 0.2346
O: 0.5550 0.7812 0.2270
O: 0.9295 0.2703 0.7343
O: 0.2807 0.0684 0.7212
O: 0.0694 0.9185 0.7402
O: 0.2247 0.5697 0.7692
O: 0.5811 0.4314 0.7635
O: 0.4351 0.2174 0.7767
O: 0.0847 0.7213 0.2570
O: 0.7133 0.9313 0.2705
O: 0.9324 0.0891 0.2599

=====

Here is a PBEsol-optimized structure of KBaOs from the Alexandria database. Energies are from meta-GGA SCAN.

Summary:
- SG = P3m1 (156)
- ΔH_f (0 K) (meV per atom) = 1199
- DOS(E_F) (states/eV/cell) = 2.75
- relative energy among the computed polymorphs (meV/atom) = 0

abc: 2.8942 5.4899 5.4899
angles: 120.00 90.00 90.00
Fractional positions:
Ba: 0.8320 0.0000 0.0000
K: 0.8353 0.3333 0.6667
Os: 0.3326 0.6667 0.3333

=====

Here is a PBEsol-optimized structure of BaTlRh2 from the Alexandria database. Energies are from meta-GGA SCAN.

Summary:
- SG = F-43m (216)
- ΔH_f (0 K) (meV per atom) = 473
- DOS(E_F) (states/eV/cell) = 3.40

abc: 4.9732 4.9732 4.9732
angles: 60.00 60.00 60.00
Each line ends with the local moment (μB).
Fractional positions:
Ba: 0.5000 0.5000 0.5000  0.02
Rh: 0.0000 0.0000 0.0000  0.64
Rh: 0.7500 0.7500 0.7500  0.62
Tl: 0.2500 0.2500 0.2500  -0.01

=====

Here is a PBEsol-optimized structure of ZrSnS3 from the Alexandria database. Energies are from meta-GGA SCAN.

Summary:
- SG = Pm-3m (221)
- formation energy (no corrections) (eV per atom) = -0.87

abc: 4.9189 4.9189 4.9189
angles: 90.00 90.00 90.00
Fractional positions:
S: 0.0000 0.5000 0.0000
S: 0.0000 0.0000 0.5000
S: 0.5000 0.0000 0.0000
Sn: 0.5000 0.5000 0.5000
Zr: 0.0000 0.0000 0.0000

=====

Here is a PBEsol-optimized structure of Cd2TeW from the Alexandria database. Energies are from meta-GGA SCAN.

Summary:
- SG = I-4m2 (119)
- DOS(E_F) (states/eV/cell) = 2.64
- formation energy (no corrections) (eV per atom) = 0.83

abc: 4.3280 4.3280 5.2367
angles: 114.41 114.41 90.00
Each line ends with the local moment (μB).
Fractional positions:
Te: 0.5000 0.5000 0.0000  -0.03
W: 0.2500 0.7500 0.5000  1.33
Cd: 0.0000 0.0000 0.0000  0.01
Cd: 0.7500 0.2500 0.5000  -0.01

=====

Here is a PBEsol-optimized structure of Re2SnNCl from the Alexandria database. Energies are from meta-GGA SCAN.

Summary:
- SG = P4/mmm (123)
- DOS(E_F) (states/eV/cell) = 2.72
- formation energy (no corrections) (eV per atom) = 3.09

abc: 5.1603 5.1603 5.4304
angles: 90.00 90.00 90.00
Each line ends with the local moment (μB).
Fractional positions:
Re: 0.0000 0.5000 0.0000  2.66
Re: 0.5000 0.0000 0.0000  2.66
N: 0.5000 0.5000 0.5000  1.86
Sn: 0.0000 0.0000 0.0000  -0.04
Cl: 0.0000 0.0000 0.5000  0.16

=====

Here is a PBEsol-optimized structure of Pa2S3 from the Alexandria database. Energies are from meta-GGA SCAN.

Summary:
- SG = R-3c (167)
- DOS(E_F) (states/eV/cell) = 8.57
- formation energy (no corrections) (eV per atom) = -1.55

abc: 6.7152 6.7152 7.2871
angles: 62.56 62.56 60.00
Fractional positions:
Pa: 0.8430 0.8430 0.4711
Pa: 0.6570 0.6570 0.0289
Pa: 0.3430 0.3430 0.9711
Pa: 0.1570 0.1570 0.5289
S: 0.5621 0.2500 0.2500
S: 0.9379 0.5621 0.2500
S: 0.2500 0.9379 0.2500
S: 0.7500 0.0621 0.7500
S: 0.0621 0.4379 0.7500
S: 0.4379 0.7500 0.7500

=====

Here is a PBEsol-optimized structure of Ag2SbRu from the Alexandria database. Energies are from meta-GGA SCAN.

Summary:
- SG = I4/mmm (139)
- DOS(E_F) (states/eV/cell) = 3.45
- formation energy (no corrections) (eV per atom) = 0.32

abc: 3.8264 3.8264 5.3792
angles: 110.83 110.83 90.00
Fractional positions:
Ag: 0.7500 0.2500 0.5000
Ag: 0.2500 0.7500 0.5000
Ru: 0.5000 0.5000 0.0000
Sb: 0.0000 0.0000 0.0000

=====

Here is a PBEsol-optimized structure of BaNiF4 from the Alexandria database. Energies are from meta-GGA SCAN.

Summary:
- SG = Cmc2_1 (36)
- DOS(E_F) (states/eV/cell) = 0.00
- formation energy (no corrections) (eV per atom) = -3.22

abc: 4.1469 5.7772 7.4511
angles: 90.00 106.16 90.00
Each line ends with the local moment (μB).
Fractional positions:
Ba: 0.1433 0.0401 0.2866  0.00
Ba: 0.8567 0.5401 0.7134  0.00
Ni: 0.4120 0.0004 0.8240  1.69
Ni: 0.5880 0.5004 0.1760  1.69
F: 0.3319 0.2703 0.6637  0.04
F: 0.0757 0.4943 0.1513  0.06
F: 0.4724 0.6829 0.9449  0.05
F: 0.5276 0.1829 0.0551  0.05
F: 0.3009 0.8023 0.6017  0.03
F: 0.6991 0.3023 0.3983  0.03
F: 0.6681 0.7703 0.3363  0.04
F: 0.9243 0.9943 0.8487  0.06

=====

Here is a PBEsol-optimized structure of NaLaN2F from the Alexandria database. Energies are from meta-GGA SCAN.

Summary:
- SG = P4/mmm (123)
- DOS(E_F) (states/eV/cell) = 1.05
- formation energy (no corrections) (eV per atom) = -0.61

abc: 4.2879 4.2879 4.7630
angles: 90.00 90.00 90.00
Fractional positions:
Na: 0.5000 0.5000 0.5000
N: 0.0000 0.5000 0.0000
N: 0.5000 0.0000 0.0000
F: 0.0000 0.0000 0.5000
La: 0.0000 0.0000 0.0000